A relaxed structure of Sr2VOF. Source: Alexandria via LeMat-Bulk, functional PBE+U.

Results
Electronic total energy, eV per atom: -3.94
N(E_F), states/eV/atom: 0.48

Unit cell a=4.7715 b=5.2990 c=4.7715 alpha=90.00 beta=90.00 gamma=90.00
With the nearest neighbours (Å) after each atom.
Fractional coordinates of all 5 atoms:
1 F 0.0000 0.0000 0.0000  4 Sr 2.39, 2 O 2.65
2 O 0.0000 0.5000 0.0000  2 F 2.65
3 Sr 0.0000 0.0000 0.5000  2 F 2.39
4 Sr 0.5000 0.0000 0.0000  2 F 2.39
5 V 0.5000 0.5000 0.5000  4 O 3.37, 8 Sr 3.57